! PaNiP2, optimized geometry, DFT GGA-PBE; values from VASP
! E ... -7.52 eV per atom
! Crystal system ... tetragonal
&SYSTEM
  ibrav = 0, nat = 8, ntyp = 3
/
ATOMIC_SPECIES
Pa 231.04 Pa.upf
Ni 58.69 Ni.upf
P 30.97 P.upf
ATOMIC_POSITIONS crystal
Pa 0.1165 0.1165 0.2330
Pa 0.8835 0.8835 0.7670
Ni 0.7500 0.2500 0.5000
Ni 0.2500 0.7500 0.5000
P 0.3241 0.3241 0.6482
P 0.6759 0.6759 0.3518
P 0.5000 0.0000 0.0000
P 0.0000 0.5000 0.0000
CELL_PARAMETERS angstrom
-1.8012 3.1919 -1.1120
-2.8463 -0.7528 2.4497
6.5635 3.3818 5.6713

! Pa2Ni3P, optimized geometry, DFT GGA-PBE; values from VASP
! E ... -7.68 eV per atom
! Crystal system ... orthorhombic
&SYSTEM
  ibrav = 0, nat = 12, ntyp = 3
/
ATOMIC_SPECIES
Pa 231.04 Pa.upf
Ni 58.69 Ni.upf
P 30.97 P.upf
ATOMIC_POSITIONS crystal
Pa 0.7500 0.2500 0.5000
Pa 0.7723 0.2277 0.0000
Pa 0.2500 0.7500 0.5000
Pa 0.2277 0.7723 0.0000
Ni 0.8260 0.8260 0.1738
Ni 0.6522 0.6522 0.8262
Ni 0.1740 0.1740 0.8262
Ni 0.3478 0.3478 0.1738
Ni 0.1728 0.1728 0.3457
Ni 0.8272 0.8272 0.6543
P 0.6649 0.6649 0.3297
P 0.3351 0.3351 0.6703
CELL_PARAMETERS angstrom
5.3128 0.6676 0.0000
0.3390 5.3438 0.0000
-2.8259 -3.0057 7.0655

! PaNi3P, optimized geometry, DFT GGA-PBE; values from VASP
! E ... -7.16 eV per atom
! Crystal system ... tetragonal
! Excess energy over the best structure of this formula in the dataset ... 0.0 kJ/mol of atoms
&SYSTEM
  ibrav = 0, nat = 5, ntyp = 3
/
ATOMIC_SPECIES
Pa 231.04 Pa.upf
Ni 58.69 Ni.upf
P 30.97 P.upf
ATOMIC_POSITIONS crystal
Pa 0.3898 0.1933 0.9257
Ni 0.6449 0.9484 0.4155
Ni 0.1449 0.4484 0.4155
Ni 0.8038 0.6074 0.0977
P 0.0243 0.8277 0.6567
CELL_PARAMETERS angstrom
-2.7744 1.8910 -1.6849
-2.0991 -3.1151 -0.0417
-4.3426 0.6116 3.6484

! Pa2NiP, optimized geometry, DFT GGA-PBE; values from VASP
! E ... -7.58 eV per atom
! Crystal system ... trigonal
! Excess energy over the best structure of this formula in the dataset ... 67.7 kJ/mol of atoms
&SYSTEM
  ibrav = 0, nat = 4, ntyp = 3
/
ATOMIC_SPECIES
Ni 58.69 Ni.upf
Pa 231.04 Pa.upf
P 30.97 P.upf
ATOMIC_POSITIONS crystal
Ni 0.0000 0.0000 0.0000
Pa 0.0941 0.0941 0.7177
Pa 0.9059 0.9059 0.2823
P 0.5000 0.5000 0.5000
CELL_PARAMETERS angstrom
-0.4022 3.2071 0.8419
-2.9482 1.4952 -0.4785
-3.6789 -0.8858 8.2422

| no. | DFT formation energy (eV/atom) | size of the total moment (μB/f.u.) |
| --- | --- | --- |
| 1 | -0.998 | 0.0 |
| 2 | -0.718 | 0.0 |
| 3 | -0.712 | 0.0 |
| 4 | -0.035 | 0.0 |